[1]
A plane-wave DFT calculation with SCAN was carried out for Ta2NbTcAs at its PBEsol-relaxed geometry.

Geometry as extended XYZ:
```
5
Lattice="4.4212 0.0000 0.0000 0.0000 4.6698 0.0000 0.0000 0.0000 4.6698" Properties=species:S:1:pos:R:3 pbc="T T T"
Nb 2.2106 2.3349 2.3349
Ta 0.0000 2.3349 0.0000
Ta 0.0000 0.0000 2.3349
Tc 2.2106 0.0000 0.0000
As 0.0000 0.0000 0.0000
```

Output
Formation energy from the elements: 0.84 eV per atom
Symmetry: P4/mmm



[2]
A plane-wave DFT calculation with SCAN was carried out for TaInBr2 at its PBEsol-relaxed geometry.

Geometry as extended XYZ:
```
4
Lattice="-1.7025 -0.4305 -2.6494 4.5032 -0.8908 -2.7491 -1.7867 -4.6692 1.9069" Properties=species:S:1:pos:R:3 pbc="T T T"
Br -0.8934 -2.3346 0.9535
Br 2.2516 -0.4454 -1.3745
In -0.8513 -0.2153 -1.3247
Ta 0.5070 -2.9953 -1.7458
```

Output
Uncorrected formation energy: 260 kJ/mol of formula units
Symmetry: Cmmm
E above lowest polymorph: 0.473 eV/atom



[3]
A plane-wave DFT calculation with SCAN was carried out for KMnBr2 at its PBEsol-relaxed geometry.

Geometry as extended XYZ:
```
4
Lattice="-0.3331 -3.4393 0.7657 5.2269 -0.3427 0.7346 -0.6397 1.1999 5.1116" Properties=species:S:1:pos:R:3 pbc="T T T"
Br -0.3198 0.6000 2.5558
Br 2.6135 -0.1714 0.3673
K 2.1271 -1.2910 3.3059
Mn -0.1666 -1.7197 0.3828
```

Output
Uncorrected formation energy: -338 kJ/mol of formula units
Symmetry: P4/mmm
E above lowest polymorph: 0.202 eV/atom



[4]
A plane-wave DFT calculation with SCAN was carried out for Ta2MoW at its PBEsol-relaxed geometry.

Geometry as extended XYZ:
```
4
Lattice="3.1846 0.0000 0.0000 0.0000 3.1846 0.0000 0.0000 0.0000 6.4663" Properties=species:S:1:pos:R:3 pbc="T T T"
W 0.0000 0.0000 3.2789
Ta 0.0000 0.0000 6.4211
Ta 1.5923 1.5923 1.6519
Mo 1.5923 1.5923 4.8138
```

Output
Formation energy from the elements: -0.12 eV per atom
Symmetry: P4mm



[5]
A plane-wave DFT calculation with SCAN was carried out for MgAgMo4 at its PBEsol-relaxed geometry.

Geometry as extended XYZ:
```
6
Lattice="-3.1270 1.0621 -4.0495 -0.1534 -3.2344 -4.1012 -4.2426 -2.9259 -0.8627" Properties=species:S:1:pos:R:3 pbc="T T T"
Ag -5.6423 -3.8236 -6.7601
Mo -2.8993 -3.5273 -5.4291
Mo -4.9404 -3.3734 -3.8125
Mo -2.8227 -1.9129 -3.3819
Mo -4.3836 -1.3827 -5.4033
Mg 0.0000 0.0000 0.0000
```

Output
Formation energy from the elements: 0.52 eV per atom
Symmetry: F-43m



[6]
A plane-wave DFT calculation with SCAN was carried out for Cu2AgHg at its PBEsol-relaxed geometry.

Geometry as extended XYZ:
```
4
Lattice="-1.5361 -1.9789 1.4471 3.0828 -1.4845 1.2424 -0.1671 3.4304 4.5135" Properties=species:S:1:pos:R:3 pbc="T T T"
Hg 0.7733 -1.7317 1.3448
Cu -0.0440 0.9025 1.1875
Cu -0.1232 2.5278 3.3260
Ag 0.6898 -0.0165 3.6015
```

Output
Formation energy from the elements: 0.16 eV per atom
Symmetry: Pmmm



[7]
A plane-wave DFT calculation with SCAN was carried out for Li2AgF4 at its PBEsol-relaxed geometry.

Geometry as extended XYZ:
```
14
Lattice="3.2500 0.0000 0.0000 0.0000 5.2332 -0.1195 0.0000 -1.4057 9.8767" Properties=species:S:1:pos:R:3 pbc="T T T"
Ag 1.6259 0.2540 7.3776
Ag 1.6241 3.5735 2.3796
Li 3.2499 0.8122 4.1434
Li 3.2499 1.1015 0.7352
Li 0.0002 3.0153 5.6138
Li 0.0002 2.7260 9.0220
F 1.6253 1.9623 8.5127
F 3.2487 2.6625 3.7568
F 3.2487 4.4845 1.0024
F 1.6247 0.0485 3.6341
F 1.6253 3.7790 6.1231
F 1.6247 1.8652 1.2445
F 0.0014 -0.6570 8.7548
F 0.0014 1.1650 6.0005
```

Output
Uncorrected formation energy: -1549 kJ/mol of formula units
Symmetry: Cmmm
E above lowest polymorph: 0.028 eV/atom



[8]
A plane-wave DFT calculation with SCAN was carried out for MgSb2P at its PBEsol-relaxed geometry.

Geometry as extended XYZ:
```
4
Lattice="3.8230 0.0000 0.0000 1.9115 3.3108 0.0000 1.9115 1.1036 7.3880" Properties=species:S:1:pos:R:3 pbc="T T T"
Sb 1.9115 1.1036 1.6432
Sb 5.7345 3.3108 5.7448
P 0.0000 0.0000 0.0000
Mg 3.8230 2.2072 3.6940
```

Output
Uncorrected formation energy: 34 kJ/mol of formula units
Symmetry: R-3m
E above lowest polymorph: 0.063 eV/atom



[9]
A plane-wave DFT calculation with SCAN was carried out for YZn2Hg at its PBEsol-relaxed geometry.

Geometry as extended XYZ:
```
4
Lattice="4.7631 0.0000 0.0000 2.3816 4.1246 0.0108 2.3816 1.3596 3.8942" Properties=species:S:1:pos:R:3 pbc="T T T"
Y 2.3815 1.3710 0.9762
Zn 4.7631 5.4828 3.9040
Zn 7.1447 4.1132 2.9288
Hg 4.7631 2.7435 1.9535
```

Output
Formation energy from the elements: -0.37 eV per atom
Symmetry: F-43m



[10]
A plane-wave DFT calculation with SCAN was carried out for Sr2SiSe at its PBEsol-relaxed geometry.

Geometry as extended XYZ:
```
4
Lattice="-0.3037 -4.9474 1.1414 4.7127 1.8423 -2.0938 -1.0589 1.1800 4.8330" Properties=species:S:1:pos:R:3 pbc="T T T"
Sr 1.8638 -2.4944 1.0174
Sr 1.4862 0.5693 2.8632
Se -0.6813 -1.8837 2.9872
Si 0.0000 0.0000 0.0000
```

Output
Uncorrected formation energy: -313 kJ/mol of formula units
Symmetry: I4/mmm



[11]
A plane-wave DFT calculation with SCAN was carried out for Tl17Sb12 at its PBEsol-relaxed geometry.

Geometry as extended XYZ:
```
29
Lattice="-8.7304 5.0962 -1.9015 -2.1697 -8.8727 4.7303 6.0592 5.7125 6.0383" Properties=species:S:1:pos:R:3 pbc="T T T"
Tl 0.0000 0.0000 0.0000
Tl -3.1409 1.8334 -0.6841
Tl 0.8321 4.9997 2.9796
Tl -3.2612 4.8291 0.7822
Tl -4.7313 2.3997 3.0069
Tl 2.9072 0.5815 5.0772
Tl -5.7755 -1.0010 3.6053
Tl -0.0535 2.5946 5.5182
Tl 0.2430 -0.7502 6.8363
Tl 0.6297 -3.4552 4.7152
Tl -2.6562 -2.0185 5.1045
Tl -5.8639 0.2160 0.3684
Tl -0.7806 -3.1921 1.7018
Tl -3.0993 1.2395 5.6770
Tl -2.4269 4.9343 4.1376
Tl 2.1799 2.0552 2.1724
Tl -4.0481 -3.6502 2.2039
Sb -1.3886 2.3663 2.4029
Sb -0.5660 7.8601 3.7180
Sb -6.3987 3.5697 0.4510
Sb 3.5661 -0.9378 7.8949
Sb -0.1688 -0.2308 3.6359
Sb -3.2910 7.7466 2.2551
Sb 2.0500 -3.6252 7.6539
Sb -2.9185 -0.3454 2.1597
Sb -8.4738 -1.4396 1.4313
Sb 2.9162 3.9578 5.4516
Sb -2.2665 -5.2283 4.6278
Sb -7.2649 -4.0133 2.6532
```

Output
Uncorrected formation energy: 173 kJ/mol of formula units
Symmetry: I-43m



[12]
A plane-wave DFT calculation with SCAN was carried out for Al2MoOs at its PBEsol-relaxed geometry.

Geometry as extended XYZ:
```
4
Lattice="-1.6348 1.9170 2.7602 1.2086 -2.6905 2.5844 3.3128 2.0232 0.5570" Properties=species:S:1:pos:R:3 pbc="T T T"
Mo 1.4433 0.6249 2.9508
Os -0.8174 0.9585 1.3801
Al 1.6564 1.0116 0.2785
Al 0.6043 -1.3452 1.2922
```

Output
Formation energy from the elements: -0.19 eV per atom
Symmetry: P4/mmm
E above lowest polymorph: 0.179 eV/atom



[13]
A plane-wave DFT calculation with SCAN was carried out for CrRu4 at its PBEsol-relaxed geometry.

Geometry as extended XYZ:
```
5
Lattice="-0.9831 2.0682 2.8939 -0.1459 -3.0233 2.1112 5.9712 1.1591 -1.1530" Properties=species:S:1:pos:R:3 pbc="T T T"
Ru 2.6304 -1.1709 1.7304
Ru 2.2118 1.3749 2.1217
Ru 0.5221 -0.3406 2.7738
Ru 4.3202 0.5446 1.0784
Cr 0.0000 0.0000 0.0000
```

Output
Formation energy from the elements: 0.54 eV per atom
Symmetry: I4/mmm



[14]
A plane-wave DFT calculation with SCAN was carried out for YCrAu2 at its PBEsol-relaxed geometry.

Geometry as extended XYZ:
```
4
Lattice="3.4121 0.0000 0.0000 0.0000 3.4165 0.0000 0.0000 0.0000 6.5338" Properties=species:S:1:pos:R:3 pbc="T T T"
Au 0.0000 0.0000 1.4603
Au 0.0000 0.0000 5.0735
Y 1.7061 1.7083 3.2669
Cr 1.7061 1.7083 0.0000
```

Output
Formation energy from the elements: -0.63 eV per atom
Symmetry: P4/mmm



[15]
A plane-wave DFT calculation with SCAN was carried out for CrNi2Ir at its PBEsol-relaxed geometry.

Geometry as extended XYZ:
```
4
Lattice="2.5872 0.0000 0.0000 0.0000 3.5274 0.0000 0.0000 0.0000 5.0592" Properties=species:S:1:pos:R:3 pbc="T T T"
Ni 0.0000 1.7637 1.2368
Ni 1.2936 0.0000 0.0894
Cr 1.2936 0.0000 2.4977
Ir 0.0000 1.7637 3.7649
```

Output
Formation energy from the elements: -0.10 eV per atom
Symmetry: Pmm2



[16]
A plane-wave DFT calculation with SCAN was carried out for Li4C at its PBEsol-relaxed geometry.

Geometry as extended XYZ:
```
5
Lattice="3.8661 0.0000 0.0000 1.9331 3.6262 0.0000 1.9331 0.0000 3.6262" Properties=species:S:1:pos:R:3 pbc="T T T"
Li 1.9331 1.5177 0.4968
Li 3.8661 0.4968 2.1085
Li 5.7992 2.1085 3.1295
Li 3.8661 3.1295 1.5177
C 0.0000 0.0000 0.0000
```

Output
Formation energy from the elements: 0.34 eV per atom
Symmetry: I4/m
E above lowest polymorph: 0.000 eV/atom



[17]
A plane-wave DFT calculation with SCAN was carried out for Zn2MoAs at its PBEsol-relaxed geometry.

Geometry as extended XYZ:
```
4
Lattice="-0.8462 1.1288 -2.5301 -2.3867 -4.0615 -1.0139 -2.4429 3.4274 2.3462" Properties=species:S:1:pos:R:3 pbc="T T T"
Mo -2.8379 0.2474 -0.5989
As -0.4231 0.5644 -1.2651
Zn -1.2215 1.7137 1.1731
Zn -1.1934 -2.0308 -0.5069
```

Output
Formation energy from the elements: 0.19 eV per atom
Symmetry: Cmmm



[18]
A plane-wave DFT calculation with SCAN was carried out for BaTaSn3 at its PBEsol-relaxed geometry.

Geometry as extended XYZ:
```
5
Lattice="-1.1924 4.6516 2.3548 -3.1162 1.3007 -4.1474 -4.1798 -2.2967 2.4203" Properties=species:S:1:pos:R:3 pbc="T T T"
Sn -1.5581 0.6504 -2.0737
Sn -2.0899 -1.1484 1.2101
Sn -0.5962 2.3258 1.1774
Ba -4.2443 1.8278 0.3138
Ta 0.0000 0.0000 0.0000
```

Output
Formation energy from the elements: -0.25 eV per atom
Symmetry: Pm-3m
E above lowest polymorph: 0.000 eV/atom



[19]
A plane-wave DFT calculation with SCAN was carried out for NiTe2Cl at its PBEsol-relaxed geometry.

Geometry as extended XYZ:
```
4
Lattice="-2.9941 -0.7305 -2.2457 -2.4322 -2.7900 0.9178 -5.6493 3.3888 3.2096" Properties=species:S:1:pos:R:3 pbc="T T T"
Te -5.8665 1.9903 2.3377
Te -5.2092 -2.1219 -0.4561
Ni -2.7132 -1.7602 -0.6640
Cl -2.8247 1.6944 1.6048
```

Output
Uncorrected formation energy: -154 kJ/mol of formula units
Symmetry: C2/m



[20]
A plane-wave DFT calculation with SCAN was carried out for Li2AgF at its PBEsol-relaxed geometry.

Geometry as extended XYZ:
```
4
Lattice="-0.2622 -3.1483 2.9804 1.7160 -3.9065 -0.8111 3.5664 -1.2876 2.1182" Properties=species:S:1:pos:R:3 pbc="T T T"
Li 3.7651 -6.2568 3.2156
Li 1.2550 -2.0856 1.0719
Ag 2.5101 -4.1712 2.1437
F 0.0000 0.0000 0.0000
```

Output
Uncorrected formation energy: -349 kJ/mol of formula units
Symmetry: Fm-3m



[21]
A plane-wave DFT calculation with SCAN was carried out for TcAgMoPb2 at its PBEsol-relaxed geometry.

Geometry as extended XYZ:
```
5
Lattice="5.0435 0.0000 0.0000 0.0000 5.1334 0.0000 0.0000 0.0000 5.1334" Properties=species:S:1:pos:R:3 pbc="T T T"
Mo 2.5217 0.0000 0.0000
Pb 0.0000 0.0000 2.5667
Pb 0.0000 2.5667 0.0000
Tc 2.5217 2.5667 2.5667
Ag 0.0000 0.0000 0.0000
```

Output
Formation energy from the elements: 1.88 eV per atom
Symmetry: P4/mmm



[22]
A plane-wave DFT calculation with SCAN was carried out for SrTa2P at its PBEsol-relaxed geometry.

Geometry as extended XYZ:
```
4
Lattice="-2.5033 -0.1731 -1.6265 -2.3218 -2.3712 3.8258 0.8328 5.9405 0.8350" Properties=species:S:1:pos:R:3 pbc="T T T"
Sr -1.2517 -0.0865 -0.8132
Ta -3.0278 0.5460 1.8531
Ta -0.9645 2.8502 1.1812
P -1.1609 -1.1856 1.9129
```

Output
Formation energy from the elements: 0.21 eV per atom
Symmetry: Immm



[23]
A plane-wave DFT calculation with SCAN was carried out for YCuN2 at its PBEsol-relaxed geometry.

Geometry as extended XYZ:
```
4
Lattice="-0.6916 2.7392 1.5257 -2.2728 1.9515 -1.1554 -5.1365 -1.3181 3.4166" Properties=species:S:1:pos:R:3 pbc="T T T"
Y 0.0000 0.0000 0.0000
N -4.4787 3.6388 1.5725
N -3.6221 -0.2661 2.2144
Cu -4.0504 1.6863 1.8935
```

Output
Uncorrected formation energy: 308 kJ/mol of formula units
Symmetry: R-3m



[24]
A plane-wave DFT calculation with SCAN was carried out for AgPIr4 at its PBEsol-relaxed geometry.

Geometry as extended XYZ:
```
6
Lattice="5.1380 0.0000 0.0000 2.5690 4.4497 0.0000 2.5690 1.4832 4.1952" Properties=species:S:1:pos:R:3 pbc="T T T"
P 7.7070 4.4497 3.1464
Ir 3.8545 2.2254 1.5736
Ir 5.1380 4.4486 1.5736
Ir 5.1380 2.9664 3.6696
Ir 6.4216 2.2254 1.5736
Ag 0.0000 0.0000 0.0000
```

Output
Formation energy from the elements: 0.80 eV per atom
Symmetry: F-43m



[25]
A plane-wave DFT calculation with SCAN was carried out for TaZn2Mo at its PBEsol-relaxed geometry.

Geometry as extended XYZ:
```
4
Lattice="-3.0571 1.2254 0.3863 -0.1454 -1.3204 3.0384 2.1774 4.7487 2.1679" Properties=species:S:1:pos:R:3 pbc="T T T"
Ta -0.0116 3.4193 3.2950
Zn -1.0750 1.1000 2.2362
Zn 0.0295 0.0642 0.0293
Mo 1.1209 2.4445 1.1160
```

Output
Formation energy from the elements: 0.11 eV per atom
Symmetry: P4mm
E above lowest polymorph: 0.071 eV/atom



[26]
A plane-wave DFT calculation with SCAN was carried out for Zr2ScAl at its PBEsol-relaxed geometry.

Geometry as extended XYZ:
```
4
Lattice="-0.8797 -2.4069 -1.7424 1.8358 -1.0145 -2.2811 4.8494 -7.4758 5.1227" Properties=species:S:1:pos:R:3 pbc="T T T"
Al 2.9027 -5.4486 0.5496
Sc 0.0000 0.0000 0.0000
Zr 4.2991 -8.0961 0.7459
Zr 1.5063 -2.8012 0.3532
```

Output
Formation energy from the elements: -0.06 eV per atom
Symmetry: R-3m



[27]
A plane-wave DFT calculation with SCAN was carried out for LiRe2AsIr at its PBEsol-relaxed geometry.

Geometry as extended XYZ:
```
5
Lattice="3.9608 0.0000 0.0000 0.0000 4.1612 0.0000 0.0000 0.0000 4.1612" Properties=species:S:1:pos:R:3 pbc="T T T"
As 1.9804 0.0000 0.0000
Ir 1.9804 2.0806 2.0806
Re 0.0000 2.0806 0.0000
Re 0.0000 0.0000 2.0806
Li 0.0000 0.0000 0.0000
```

Output
Formation energy from the elements: 1.45 eV per atom
Symmetry: P4/mmm



[28]
A plane-wave DFT calculation with SCAN was carried out for Mg5Sc3 at its PBEsol-relaxed geometry.

Geometry as extended XYZ:
```
8
Lattice="4.9440 0.0000 0.0000 0.0000 6.1776 -0.0029 0.0000 -1.8569 5.8920" Properties=species:S:1:pos:R:3 pbc="T T T"
Sc 2.4720 0.1197 4.4418
Sc 0.0000 2.1604 2.9445
Sc 2.4720 4.2011 1.4473
Mg 2.4720 3.2359 4.4105
Mg 0.0000 3.0888 -0.0014
Mg 0.0000 0.0000 0.0000
Mg 2.4720 1.0848 1.4786
Mg 0.0000 -0.9285 2.9460
```

Output
Formation energy from the elements: -0.03 eV per atom
Symmetry: Cmmm